(1)
5
Lattice="4.3929 0.0000 0.0000 0.0000 5.3739 0.0000 0.0000 0.0000 4.3929" Properties=species:S:1:pos:R:3 comment="PBE AlTcS2F, relaxed" volume_a3_per_cell=103.7 raw_formation_energy_mev_per_atom=419 spacegroup="P4/mmm, No. 123" total_energy_ev_per_atom=-4.428 dos_at_fermi_per_ev_cell=2.483 magnetic_moment_mub_per_cell=4.36 crystal_system=tetragonal pbc="T T T"
S 0.0000 0.0000 2.1964
S 2.1964 0.0000 0.0000
F 2.1964 2.6869 2.1964
Tc 0.0000 2.6869 0.0000
Al 0.0000 0.0000 0.0000



(2)
20
Lattice="-3.0683 -5.6281 4.2312 4.0758 -7.7987 -2.3128 4.8520 -0.7223 7.6626" Properties=species:S:1:pos:R:3 comment="PBE BaUMn2S6, relaxed" volume_a3_per_cell=575.1 raw_formation_energy_mev_per_atom=-1067 spacegroup="C2/c, No. 15" total_energy_ev_per_atom=-6.698 dos_at_fermi_per_ev_cell=8.120 magnetic_moment_mub_per_cell=20.00 crystal_system=monoclinic pbc="T T T"
Ba 3.3797 -8.5582 -0.3423
Ba 2.4798 -5.5908 9.9233
U 3.8669 -4.1171 5.9182
U 1.9926 -10.0319 3.6628
Mn 4.9887 -8.5954 4.6633
Mn 2.2971 -3.7227 1.4162
Mn 0.8708 -5.5536 4.9177
Mn 3.5624 -10.4263 8.1648
S 7.1223 -9.5023 4.3845
S 0.0855 -3.5265 0.6930
S -1.2628 -4.6467 5.1965
S 5.7740 -10.6225 8.8880
S 3.9097 -8.7098 2.6593
S 3.1524 -5.6473 0.5458
S 1.9498 -5.4392 6.9217
S 2.7071 -8.5017 9.0352
S 5.1872 -6.2605 5.1134
S 2.3174 -4.0630 3.7779
S 0.6723 -7.8885 4.4676
S 3.5421 -10.0860 5.8031